No. 1
VASP calculation (PBE) on a relaxed structure of Rb2TaAu.

Unit cell a=9.273 b=9.273 c=9.273 alpha=94.61 beta=94.61 gamma=147.05
Element x y z (fractional)
Rb: 0.375 0.221 0.346
Rb: 0.779 0.125 0.154
Rb: 0.875 0.029 0.654
Rb: 0.971 0.625 0.846
Ta: 0.250 0.750 0.500
Ta: 0.500 0.500 0.000
Au: 0.000 0.000 0.000
Au: 0.750 0.250 0.500

Output
The value obtained for the excess energy over the best structure of this formula in the dataset is 0.0000 eV per atom. The value obtained for the total magnetic moment is 0.881 μB/atom. Its energy relative to the elements is 4.2 eV per formula unit.

No. 2
VASP calculation (PBE) on a relaxed structure of RbTa2Au.

Unit cell a=11.064 b=11.064 c=11.064 alpha=156.40 beta=156.40 gamma=33.63
Element x y z (fractional)
Rb: 0.000 0.000 0.000
Rb: 0.750 0.250 0.500
Ta: 0.258 0.625 0.133
Ta: 0.375 0.508 0.633
Ta: 0.492 0.125 0.867
Ta: 0.875 0.742 0.367
Au: 0.250 0.750 0.500
Au: 0.500 0.500 0.000

Output
The value obtained for the excess energy over the best structure of this formula in the dataset is 0.0000 eV per atom. The value obtained for the total magnetic moment is 0.000 μB/atom. Its energy relative to the elements is 5.3 eV per formula unit.

No. 3
VASP calculation (PBE) on a relaxed structure of Rb2TaAu.

Unit cell a=6.021 b=6.021 c=6.021 alpha=60.00 beta=60.00 gamma=60.00
Element x y z (fractional)
Rb: 0.250 0.250 0.250
Rb: 0.750 0.750 0.750
Ta: 0.000 0.000 0.000
Au: 0.500 0.500 0.500

Output
The value obtained for the excess energy over the best structure of this formula in the dataset is 0.3680 eV per atom. The value obtained for the total magnetic moment is 1.012 μB/atom. Its energy relative to the elements is 5.6 eV per formula unit.

No. 4
VASP calculation (PBE) on a relaxed structure of RbTa2Au2.

Unit cell a=8.700 b=8.700 c=2.859 alpha=90.00 beta=90.00 gamma=90.00
Element x y z (fractional)
Rb: 0.000 0.000 0.000
Rb: 0.500 0.500 0.000
Ta: 0.112 0.388 0.000
Ta: 0.388 0.888 0.000
Ta: 0.612 0.112 0.000
Ta: 0.888 0.612 0.000
Au: 0.177 0.677 0.500
Au: 0.323 0.177 0.500
Au: 0.677 0.823 0.500
Au: 0.823 0.323 0.500

Output
The value obtained for the excess energy over the best structure of this formula in the dataset is 0.0000 eV per atom. The value obtained for the total magnetic moment is 0.000 μB/atom. Its energy relative to the elements is 2.1 eV per formula unit.

No. 5
VASP calculation (PBE) on a relaxed structure of RbTa3Te12Au4.

Unit cell a=9.686 b=9.686 c=9.686 alpha=109.54 beta=109.54 gamma=109.54
Element x y z (fractional)
Rb: 0.000 0.000 0.000
Ta: 0.000 0.542 0.458
Ta: 0.458 0.000 0.542
Ta: 0.542 0.458 0.000
Te: 0.041 0.653 0.763
Te: 0.121 0.879 0.500
Te: 0.237 0.347 0.959
Te: 0.329 0.671 0.500
Te: 0.347 0.959 0.237
Te: 0.500 0.121 0.879
Te: 0.500 0.329 0.671
Te: 0.653 0.763 0.041
Te: 0.671 0.500 0.329
Te: 0.763 0.041 0.653
Te: 0.879 0.500 0.121
Te: 0.959 0.237 0.347
Au: 0.051 0.500 0.949
Au: 0.500 0.500 0.500
Au: 0.500 0.949 0.051
Au: 0.949 0.051 0.500

Output
The value obtained for the total magnetic moment is 0.000 μB/atom. The calculation puts the uncorrected formation energy at -0.09 eV/atom.

No. 6
VASP calculation (PBE) on a relaxed structure of RbTaTi2Au.

Unit cell a=5.125 b=5.125 c=5.145 alpha=90.00 beta=90.00 gamma=90.00
Element x y z (fractional)
Rb: 0.000 0.000 0.000
Ta: 0.500 0.500 0.000
Ti: 0.000 0.500 0.500
Ti: 0.500 0.000 0.500
Au: 0.500 0.500 0.500

Output
The value obtained for the total magnetic moment is 0.225 μB/atom. Its energy relative to the elements is 6.5 eV per formula unit.

No. 7
VASP calculation (PBE) on a relaxed structure of RbTaW2Au.

Unit cell a=4.928 b=4.928 c=5.499 alpha=90.00 beta=90.00 gamma=90.00
Element x y z (fractional)
Rb: 0.000 0.000 0.000
Ta: 0.500 0.500 0.500
W: 0.000 0.500 0.500
W: 0.500 0.000 0.500
Au: 0.500 0.500 0.000

Output
The value obtained for the total magnetic moment is 0.498 μB/atom. Its energy relative to the elements is 9.1 eV per formula unit.

No. 8
VASP calculation (PBE) on a relaxed structure of RbTbAu2.

Unit cell a=3.745 b=3.745 c=8.369 alpha=90.00 beta=90.00 gamma=90.00
Element x y z (fractional)
Rb: 0.000 0.000 0.000
Tb: 0.000 0.000 0.500
Au: 0.500 0.500 0.321
Au: 0.500 0.500 0.679

Output
The value obtained for the total magnetic moment is 0.000 μB/atom. Its energy relative to the elements is -2.2 eV per formula unit.

Repeat the sixth record exactly.
VASP calculation (PBE) on a relaxed structure of RbTaTi2Au.

Unit cell a=5.125 b=5.125 c=5.145 alpha=90.00 beta=90.00 gamma=90.00
Element x y z (fractional)
Rb: 0.000 0.000 0.000
Ta: 0.500 0.500 0.000
Ti: 0.000 0.500 0.500
Ti: 0.500 0.000 0.500
Au: 0.500 0.500 0.500

Output
The value obtained for the total magnetic moment is 0.225 μB/atom. Its energy relative to the elements is 6.5 eV per formula unit.

Q: Look up the total magnetic moment of the first one.
A: 0.881 μB/atom